1.
LiMg2Ni (PBE, relaxed); SG = No. 12
1.0
3.189 -3.200 0.000
3.189 3.200 0.000
-0.008 0.000 3.136
Li Mg Ni
1 2 1
Direct
0.000 0.000 0.000 Li
0.000 0.500 0.500 Mg
0.500 0.000 0.500 Mg
0.500 0.500 0.000 Ni


2.
LiMgNi2 (PBE, relaxed); SG = No. 160
1.0
1.356 0.783 8.692
-1.356 0.783 8.692
0.000 -1.566 8.692
Li Mg Ni
1 1 2
Direct
0.000 0.000 0.000 Li
0.233 0.233 0.233 Mg
0.484 0.484 0.484 Ni
0.745 0.745 0.745 Ni


3.
LiMg2Ni (PBE, relaxed); SG = No. 119
1.0
-1.940 1.940 4.311
1.940 -1.940 4.311
1.940 1.940 -4.311
Li Mg Ni
1 2 1
Direct
0.000 0.000 0.000 Li
0.250 0.750 0.500 Mg
0.500 0.500 0.000 Mg
0.750 0.250 0.500 Ni


4.
Li5Mg2Ni (PBE, relaxed); SG = No. 55
1.0
7.547 0.000 0.000
0.000 12.761 0.000
0.000 0.000 3.003
Li Mg Ni
10 4 2
Direct
0.000 0.000 0.000 Li
0.004 0.229 0.000 Li
0.206 0.384 0.500 Li
0.294 0.884 0.500 Li
0.496 0.729 0.000 Li
0.500 0.500 0.000 Li
0.504 0.271 0.000 Li
0.706 0.116 0.500 Li
0.794 0.616 0.500 Li
0.996 0.771 0.000 Li
0.207 0.614 0.500 Mg
0.293 0.114 0.500 Mg
0.707 0.886 0.500 Mg
0.793 0.386 0.500 Mg
0.000 0.500 0.000 Ni
0.500 0.000 0.000 Ni


5.
LiMg2Ni (PBE, relaxed); SG = No. 12
1.0
4.434 -1.464 0.000
4.434 1.464 0.000
-0.909 0.000 5.204
Li Mg Ni
1 2 1
Direct
0.000 0.000 0.000 Li
0.235 0.235 0.730 Mg
0.765 0.765 0.270 Mg
0.500 0.500 0.500 Ni


6.
LiMg2Ni6 (PBE, relaxed); SG = No. 225
1.0
0.000 3.852 3.852
3.852 0.000 3.852
3.852 3.852 0.000
Li Mg Ni
1 2 6
Direct
0.000 0.000 0.000 Li
0.250 0.250 0.250 Mg
0.750 0.750 0.750 Mg
0.278 0.278 0.722 Ni
0.278 0.722 0.278 Ni
0.278 0.722 0.722 Ni
0.722 0.278 0.278 Ni
0.722 0.278 0.722 Ni
0.722 0.722 0.278 Ni


7.
LiMgNi2 (PBE, relaxed); SG = No. 119
1.0
-2.084 2.084 2.940
2.084 -2.084 2.940
2.084 2.084 -2.940
Li Mg Ni
1 1 2
Direct
0.000 0.000 0.000 Li
0.750 0.250 0.500 Mg
0.250 0.750 0.500 Ni
0.500 0.500 0.000 Ni


8.
Li2Mg2Ni (PBE, relaxed); SG = No. 127; energy above the most stable polymorph in this dataset = 92 kJ/mol of formula units
1.0
6.207 0.000 0.000
0.000 6.207 0.000
0.000 0.000 4.300
Li Mg Ni
4 4 2
Direct
0.135 0.365 0.000 Li
0.365 0.865 0.000 Li
0.635 0.135 0.000 Li
0.865 0.635 0.000 Li
0.186 0.686 0.500 Mg
0.314 0.186 0.500 Mg
0.686 0.814 0.500 Mg
0.814 0.314 0.500 Mg
0.000 0.000 0.000 Ni
0.500 0.500 0.000 Ni


9.
LiMgNi2 (PBE, relaxed); SG = No. 47
1.0
3.662 0.000 0.000
0.000 3.716 0.000
0.000 0.000 3.771
Li Mg Ni
1 1 2
Direct
0.000 0.000 0.000 Li
0.500 0.500 0.000 Mg
0.000 0.500 0.500 Ni
0.500 0.000 0.500 Ni


10.
LiMg2Ni (PBE, relaxed); SG = No. 160
1.0
1.492 0.862 9.114
-1.492 0.862 9.114
0.000 -1.723 9.114
Li Mg Ni
1 2 1
Direct
0.000 0.000 0.000 Li
0.239 0.239 0.239 Mg
0.427 0.427 0.427 Mg
0.833 0.833 0.833 Ni


11.
Li2Mg6Ni (PBE, relaxed); SG = No. 38; energy above the most stable polymorph in this dataset = 7 kJ/mol of formula units
1.0
3.186 0.000 0.000
0.000 6.944 4.008
0.000 -6.944 4.008
Li Mg Ni
2 6 1
Direct
0.000 0.167 0.833 Li
0.000 0.833 0.167 Li
0.000 0.238 0.500 Mg
0.000 0.500 0.238 Mg
0.000 0.761 0.761 Mg
0.500 0.126 0.126 Mg
0.500 0.500 0.874 Mg
0.500 0.874 0.500 Mg
0.500 0.499 0.499 Ni


12.
LiMgNi (PBE, relaxed); SG = No. 107; energy above the most stable polymorph in this dataset = 14 kJ/mol of formula units
1.0
-1.503 1.503 4.923
1.503 -1.503 4.923
1.503 1.503 -4.923
Li Mg Ni
1 1 1
Direct
0.000 0.000 0.000 Li
0.707 0.707 0.000 Mg
0.362 0.362 0.000 Ni


13.
LiMg3Ni (PBE, relaxed); SG = No. 59; energy above the most stable polymorph in this dataset = 9 kJ/mol of formula units
1.0
4.237 0.000 0.000
0.000 7.537 0.000
0.000 0.000 5.868
Li Mg Ni
2 6 2
Direct
0.250 0.250 0.056 Li
0.750 0.750 0.944 Li
0.250 0.553 0.699 Mg
0.250 0.750 0.249 Mg
0.250 0.947 0.699 Mg
0.750 0.053 0.301 Mg
0.750 0.250 0.751 Mg
0.750 0.447 0.301 Mg
0.250 0.250 0.488 Ni
0.750 0.750 0.512 Ni


14.
LiMg2Ni (PBE, relaxed); SG = No. 166
1.0
1.490 0.860 9.089
-1.490 0.860 9.089
0.000 -1.720 9.089
Li Mg Ni
1 2 1
Direct
0.000 0.000 0.000 Li
0.240 0.240 0.240 Mg
0.760 0.760 0.760 Mg
0.500 0.500 0.500 Ni


15.
LiMg2Ni (PBE, relaxed); SG = No. 6
1.0
2.892 0.000 0.000
0.000 4.387 0.000
-1.425 0.000 5.165
Li Mg Ni
1 2 1
Direct
0.000 0.000 0.000 Li
0.281 0.000 0.557 Mg
0.601 0.500 0.200 Mg
0.871 0.500 0.739 Ni


16.
LiMg4Ni3 (PBE, relaxed); SG = No. 47
1.0
3.077 0.000 0.000
0.000 4.412 0.000
0.000 0.000 8.852
Li Mg Ni
1 4 3
Direct
0.000 0.000 0.000 Li
0.500 0.000 0.265 Mg
0.500 0.000 0.735 Mg
0.500 0.500 0.000 Mg
0.500 0.500 0.500 Mg
0.000 0.000 0.500 Ni
0.000 0.500 0.249 Ni
0.000 0.500 0.751 Ni


17.
LiMgNi2 (PBE, relaxed); SG = No. 10
1.0
2.655 0.000 0.000
0.000 3.728 0.000
-0.627 0.000 5.187
Li Mg Ni
1 1 2
Direct
0.000 0.000 0.000 Li
0.000 0.000 0.500 Mg
0.453 0.500 0.234 Ni
0.547 0.500 0.766 Ni


Short version: density of states at the Fermi level = 2.51; 4.17; 2.36; 4.70; 1.40; 9.18; 3.40; 2.97; 3.12; 2.10; 4.18; 1.15; 2.64; 2.42; 1.92; 4.58; 1.96 states/eV/f.u., in the order given.
Short version: raw total energy = -2.791; -3.637; -2.742; -2.336; -2.703; -4.299; -3.816; -2.452; -3.797; -2.700; -2.175; -3.124; -2.538; -2.719; -2.743; -3.317; -3.774 eV/atom, in the order given.